! CsKRb2Br PBE relaxed; values from VASP
! Energy = -1.7651 eV per atom
! Formation energy without anion corrections = -0.6533 eV/atom
! Symmetry = P4/mmm
! Relative energy among the computed polymorphs = 0.0000 eV/atom
! Total moment = 0.00 μB/atom
! V = 363.51 Å³ per cell
&SYSTEM
  ibrav = 0, nat = 5, ntyp = 4
/
ATOMIC_SPECIES
Cs 132.91 Cs.upf
K 39.10 K.upf
Rb 85.47 Rb.upf
Br 79.90 Br.upf
CELL_PARAMETERS angstrom
7.0473 0.0000 0.0000
0.0000 7.0473 0.0000
0.0000 0.0000 7.3194
ATOMIC_POSITIONS angstrom
Cs 0.0000 0.0000 0.0000
K 3.5236 3.5236 0.0000
Rb 0.0000 3.5236 3.6597
Rb 3.5236 0.0000 3.6597
Br 0.0000 0.0000 3.6597